The following is a DFT calculation (PBE) of a relaxed CoRu3 crystal.

Cell lengths 4.627, 8.566, 5.304 Å; angles 90.00, 90.00, 90.00 degrees
Fractional positions:
Co (0.085, 0.250, 0.127)
Co (0.415, 0.750, 0.627)
Co (0.585, 0.250, 0.373)
Co (0.915, 0.750, 0.873)
Ru (0.080, 0.250, 0.623)
Ru (0.247, 0.501, 0.875)
Ru (0.247, 0.999, 0.875)
Ru (0.253, 0.001, 0.375)
Ru (0.253, 0.499, 0.375)
Ru (0.420, 0.750, 0.123)
Ru (0.580, 0.250, 0.877)
Ru (0.747, 0.501, 0.625)
Ru (0.747, 0.999, 0.625)
Ru (0.753, 0.001, 0.125)
Ru (0.753, 0.499, 0.125)
Ru (0.920, 0.750, 0.377)

Computed properties:
The total magnetic moment comes out at 0.0005 μB per atom. Its energy relative to the elements is 0.52 eV per formula unit. Its total energy is -8.6036 eV/atom.

***

The following is a DFT calculation (PBE) of a relaxed CoRu3 crystal.

Cell lengths 4.998, 4.998, 4.998 Å; angles 148.66, 64.66, 125.03 degrees
Fractional positions:
Co (0.000, 0.000, 0.000)
Ru (0.412, 0.666, 0.746)
Ru (0.508, 0.008, 0.500)
Ru (0.920, 0.666, 0.254)

Computed properties:
The total magnetic moment comes out at 0.1932 μB per atom. Its energy relative to the elements is 0.37 eV per formula unit. Its total energy is -8.6400 eV/atom.

***

The following is a DFT calculation (PBE) of a relaxed CoRu3 crystal.

Cell lengths 4.217, 5.337, 4.644 Å; angles 90.00, 90.00, 90.00 degrees
Fractional positions:
Co (0.250, 0.250, 0.162)
Co (0.750, 0.750, 0.838)
Ru (0.250, 0.502, 0.671)
Ru (0.250, 0.750, 0.158)
Ru (0.250, 0.998, 0.671)
Ru (0.750, 0.002, 0.329)
Ru (0.750, 0.250, 0.842)
Ru (0.750, 0.498, 0.329)

Computed properties:
The total magnetic moment comes out at 0.0007 μB per atom. Its energy relative to the elements is 0.25 eV per formula unit. Its total energy is -8.6713 eV/atom.

***

The following is a DFT calculation (PBE) of a relaxed Co5Ru3 crystal.

Cell lengths 7.239, 7.239, 4.499 Å; angles 90.00, 90.00, 120.00 degrees
Fractional positions:
Co (0.000, 0.198, 0.250)
Co (0.000, 0.802, 0.750)
Co (0.198, 0.000, 0.250)
Co (0.198, 0.198, 0.750)
Co (0.333, 0.667, 0.000)
Co (0.333, 0.667, 0.500)
Co (0.667, 0.333, 0.000)
Co (0.667, 0.333, 0.500)
Co (0.802, 0.000, 0.750)
Co (0.802, 0.802, 0.250)
Ru (0.000, 0.408, 0.750)
Ru (0.000, 0.592, 0.250)
Ru (0.408, 0.000, 0.750)
Ru (0.408, 0.408, 0.250)
Ru (0.592, 0.000, 0.250)
Ru (0.592, 0.592, 0.750)

Computed properties:
The total magnetic moment comes out at 1.0918 μB per atom. Its energy relative to the elements is 3.20 eV per formula unit. Its total energy is -7.5194 eV/atom. The value obtained for the energy above the lowest structure with this stoichiometry is 0.292 eV per atom.

***

The following is a DFT calculation (PBE) of a relaxed CoRu3 crystal.

Cell lengths 4.588, 4.588, 2.661 Å; angles 90.00, 90.00, 109.54 degrees
Fractional positions:
Co (0.000, 0.000, 0.000)
Ru (0.000, 0.500, 0.500)
Ru (0.500, 0.000, 0.500)
Ru (0.500, 0.500, 0.000)

Computed properties:
The total magnetic moment comes out at 0.1269 μB per atom. Its energy relative to the elements is 0.70 eV per formula unit. Its total energy is -8.5579 eV/atom.

***

The following is a DFT calculation (PBE) of a relaxed CoRu5 crystal.

Cell lengths 4.954, 4.954, 4.459 Å; angles 90.00, 90.00, 120.00 degrees
Fractional positions:
Co (0.000, 0.000, 0.000)
Ru (0.000, 0.500, 0.500)
Ru (0.333, 0.667, 0.000)
Ru (0.500, 0.000, 0.500)
Ru (0.500, 0.500, 0.500)
Ru (0.667, 0.333, 0.000)

Computed properties:
The total magnetic moment comes out at 0.8482 μB per atom. Its energy relative to the elements is 5.22 eV per formula unit. Its total energy is -8.0442 eV/atom.

***

The following is a DFT calculation (PBE) of a relaxed Co3Ru crystal.

Cell lengths 4.395, 4.395, 4.405 Å; angles 99.70, 99.70, 33.73 degrees
Fractional positions:
Co (0.000, 0.000, 0.000)
Co (0.253, 0.253, 0.760)
Co (0.747, 0.747, 0.240)
Ru (0.500, 0.500, 0.500)

Computed properties:
The total magnetic moment comes out at 0.9555 μB per atom. Its energy relative to the elements is 0.60 eV per formula unit. Its total energy is -7.4971 eV/atom.

***

The following is a DFT calculation (PBE) of a relaxed CoRu3 crystal.

Cell lengths 4.600, 4.600, 4.600 Å; angles 132.10, 132.10, 70.07 degrees
Fractional positions:
Co (0.000, 0.000, 0.000)
Ru (0.250, 0.750, 0.500)
Ru (0.500, 0.500, 0.000)
Ru (0.750, 0.250, 0.500)

Computed properties:
The total magnetic moment comes out at 0.0002 μB per atom. Its energy relative to the elements is 0.62 eV per formula unit. Its total energy is -8.5785 eV/atom.